No. 1
Below is a geometry-optimized AgMo2Rh2 structure, with properties calculated at the PBE-GGA level.

a b c (Å): 7.624 7.624 2.773
angles (deg): 90.00 90.00 90.00
Positions (direct):
Rh 0.374 0.874 0.000
Rh 0.126 0.374 0.000
Rh 0.874 0.626 0.000
Rh 0.626 0.126 0.000
Mo 0.167 0.667 0.500
Mo 0.833 0.333 0.500
Mo 0.333 0.167 0.500
Mo 0.667 0.833 0.500
Ag 0.000 0.000 0.000
Ag 0.500 0.500 0.000

Values from the calculation:
**DFT formation energy**: 0.10 eV per atom

No. 2
Below is a geometry-optimized AgMo2Rh structure, with properties calculated at the PBE-GGA level.

a b c (Å): 9.602 9.602 9.602
angles (deg): 16.63 16.63 16.63
Positions (direct):
Rh 0.250 0.250 0.250
Mo 0.995 0.995 0.995
Mo 0.505 0.505 0.505
Ag 0.750 0.750 0.750

Values from the calculation:
**DFT formation energy**: 0.25 eV per atom

No. 3
Below is a geometry-optimized AgMo2Rh structure, with properties calculated at the PBE-GGA level.

a b c (Å): 2.737 2.737 8.613
angles (deg): 90.00 90.00 99.11
Positions (direct):
Ag 0.500 0.500 0.743
Mo 0.000 0.000 0.010
Mo 0.500 0.500 0.264
Rh 0.000 0.000 0.483

Values from the calculation:
**DFT formation energy**: 0.17 eV per atom

No. 4
Below is a geometry-optimized AgMo2Rh structure, with properties calculated at the PBE-GGA level.

a b c (Å): 4.806 4.806 4.806
angles (deg): 130.43 130.43 72.72
Positions (direct):
Rh 0.500 0.500 0.000
Mo 0.250 0.750 0.500
Mo 0.000 0.000 0.000
Ag 0.750 0.250 0.500

Values from the calculation:
**DFT formation energy**: 0.36 eV per atom

No. 5
Below is a geometry-optimized AgMo2Rh structure, with properties calculated at the PBE-GGA level.

a b c (Å): 2.740 2.740 8.485
angles (deg): 90.00 90.00 90.00
Positions (direct):
Mo 0.000 0.000 0.007
Mo 0.500 0.500 0.267
Rh 0.000 0.000 0.482
Ag 0.500 0.500 0.743

Values from the calculation:
**DFT formation energy**: 0.17 eV per atom

No. 6
Below is a geometry-optimized AgMo2Rh structure, with properties calculated at the PBE-GGA level.

a b c (Å): 7.277 7.277 5.778
angles (deg): 50.97 50.97 90.00
Positions (direct):
Mo 0.875 0.839 0.750
Mo 0.589 0.125 0.250
Mo 0.375 0.411 0.750
Mo 0.161 0.625 0.250
Ag 0.750 0.250 0.500
Ag 0.000 0.000 0.000
Rh 0.500 0.500 0.000
Rh 0.250 0.750 0.500

Values from the calculation:
**DFT formation energy**: 0.75 eV per atom

No. 7
Below is a geometry-optimized AgMo2Rh structure, with properties calculated at the PBE-GGA level.

a b c (Å): 4.982 4.982 2.733
angles (deg): 89.99 89.99 113.46
Positions (direct):
Mo 0.500 0.500 0.000
Mo 0.000 0.000 0.000
Rh 0.500 0.000 0.500
Ag 0.000 0.500 0.500

Values from the calculation:
**DFT formation energy**: 0.25 eV per atom

No. 8
Below is a geometry-optimized AgMo2Rh structure, with properties calculated at the PBE-GGA level.

a b c (Å): 5.011 5.011 4.623
angles (deg): 77.91 77.91 34.15
Positions (direct):
Ag 0.250 0.250 0.250
Mo 0.007 0.007 0.973
Mo 0.493 0.493 0.527
Rh 0.750 0.750 0.750

Values from the calculation:
**DFT formation energy**: 0.30 eV per atom

No. 9
Below is a geometry-optimized AgMo2Rh2 structure, with properties calculated at the PBE-GGA level.

a b c (Å): 7.694 7.694 2.757
angles (deg): 90.00 90.00 90.00
Positions (direct):
Rh 0.829 0.329 0.500
Rh 0.329 0.171 0.500
Rh 0.171 0.671 0.500
Rh 0.671 0.829 0.500
Ag 0.000 0.000 0.000
Ag 0.500 0.500 0.000
Mo 0.382 0.882 0.000
Mo 0.618 0.118 0.000
Mo 0.118 0.382 0.000
Mo 0.882 0.618 0.000

Values from the calculation:
**DFT formation energy**: 0.12 eV per atom

No. 10
Below is a geometry-optimized AgMoRh structure, with properties calculated at the PBE-GGA level.

a b c (Å): 6.372 6.372 6.372
angles (deg): 154.55 154.55 36.30
Positions (direct):
Ag 0.001 0.001 0.000
Mo 0.322 0.322 0.000
Rh 0.677 0.677 0.000

Values from the calculation:
**DFT formation energy**: 0.17 eV per atom

No. 11
Below is a geometry-optimized AgMo2RhS structure, with properties calculated at the PBE-GGA level.

a b c (Å): 4.968 4.803 4.968
angles (deg): 90.00 90.00 90.00
Each line ends with the local moment (μB).
Positions (direct):
S 0.500 0.500 0.500  -0.21
Mo 0.000 0.000 0.500  2.33
Mo 0.500 0.000 0.000  2.26
Rh 0.000 0.500 0.000  -0.67
Ag 0.000 0.000 0.000  0.11

Values from the calculation:
**Uncorrected formation energy**: 2.362 eV/atom

No. 12
Below is a geometry-optimized AgMoRhS2 structure, with properties calculated at the PBE-GGA level.

a b c (Å): 4.602 4.888 4.602
angles (deg): 90.00 90.00 90.00
Positions (direct):
Ag 0.500 0.500 0.500
Rh 0.000 0.500 0.000
S 0.000 0.000 0.500
S 0.500 0.000 0.000
Mo 0.000 0.000 0.000

Values from the calculation:
**Uncorrected formation energy**: 0.481 eV/atom

No. 13
Below is a geometry-optimized AgSnMo2Rh structure, with properties calculated at the PBE-GGA level.

a b c (Å): 5.008 4.865 5.008
angles (deg): 90.00 90.00 90.00
Each line ends with the local moment (μB).
Positions (direct):
Mo 0.500 0.000 0.000  1.47
Mo 0.000 0.000 0.500  2.01
Ag 0.000 0.500 0.000  0.00
Sn 0.000 0.000 0.000  -0.05
Rh 0.500 0.500 0.500  -0.17

Values from the calculation:
**DFT formation energy**: 2.12 eV per atom

No. 14
Below is a geometry-optimized Ag2MoRu structure, with properties calculated at the PBE-GGA level.

a b c (Å): 2.789 4.727 5.830
angles (deg): 57.11 90.00 90.00
Each line ends with the local moment (μB).
Positions (direct):
Ru 0.000 0.000 0.500  0.35
Mo 0.500 0.500 0.500  -0.03
Ag 0.500 0.500 0.000  0.01
Ag 0.000 0.000 0.000  0.00

Values from the calculation:
**DFT formation energy**: 0.51 eV per atom

No. 15
Below is a geometry-optimized Ag2MoRu structure, with properties calculated at the PBE-GGA level.

a b c (Å): 5.285 5.285 5.285
angles (deg): 138.46 138.35 60.29
Positions (direct):
Ag 0.000 0.000 0.000
Ag 0.500 0.500 0.000
Mo 0.750 0.250 0.500
Ru 0.250 0.750 0.500

Values from the calculation:
**DFT formation energy**: 0.51 eV per atom

No. 16
Below is a geometry-optimized Ag2MoRu structure, with properties calculated at the PBE-GGA level.

a b c (Å): 2.906 2.906 7.935
angles (deg): 90.00 90.00 90.00
Positions (direct):
Mo 0.000 0.000 0.532
Ru 0.500 0.500 0.723
Ag 0.000 0.000 0.991
Ag 0.500 0.500 0.255

Values from the calculation:
**DFT formation energy**: 0.27 eV per atom

No. 17
Below is a geometry-optimized Ag2MoRu structure, with properties calculated at the PBE-GGA level.

a b c (Å): 4.506 4.506 4.506
angles (deg): 60.00 60.00 60.00
Positions (direct):
Ag 0.250 0.250 0.250
Ag 0.750 0.750 0.750
Ru 0.500 0.500 0.500
Mo 0.000 0.000 0.000

Values from the calculation:
**DFT formation energy**: 0.88 eV per atom

No. 18
Below is a geometry-optimized Ag2MoRu structure, with properties calculated at the PBE-GGA level.

a b c (Å): 2.681 2.681 9.007
angles (deg): 90.00 90.00 90.00
Each line ends with the local moment (μB).
Positions (direct):
Ag 0.000 0.000 0.996  0.00
Ag 0.000 0.000 0.504  0.00
Ru 0.500 0.500 0.750  0.91
Mo 0.500 0.500 0.250  -0.06

Values from the calculation:
**DFT formation energy**: 0.58 eV per atom

No. 19
Below is a geometry-optimized Ag2MoRu structure, with properties calculated at the PBE-GGA level.

a b c (Å): 2.865 3.816 6.016
angles (deg): 90.00 90.00 90.00
Positions (direct):
Mo 0.000 0.000 0.533
Ag 0.000 0.000 0.001
Ag 0.500 0.500 0.248
Ru 0.500 0.500 0.718

Values from the calculation:
**DFT formation energy**: 0.38 eV per atom

No. 20
Below is a geometry-optimized Ag2MoRu structure, with properties calculated at the PBE-GGA level.

a b c (Å): 3.169 4.244 4.847
angles (deg): 90.00 90.00 90.00
Positions (direct):
Ru 0.000 0.500 0.500
Ag 0.500 0.500 0.000
Ag 0.000 0.000 0.000
Mo 0.500 0.000 0.500

Values from the calculation:
**DFT formation energy**: 0.55 eV per atom

| no. | uncorrected energy (eV per atom) |
| --- | --- |
| 1 | -7.7460 |
| 2 | -7.7179 |
| 3 | -7.8005 |
| 4 | -7.6032 |
| 5 | -7.7972 |
| 6 | -7.2190 |
| 7 | -7.7129 |
| 8 | -7.6634 |
| 9 | -7.7252 |
| 10 | -6.8428 |
| 11 | -4.8364 |
| 12 | -5.3768 |
| 13 | -5.0554 |
| 14 | -5.9472 |
| 15 | -5.9450 |
| 16 | -6.1807 |
| 17 | -5.5736 |
| 18 | -5.8752 |
| 19 | -6.0757 |
| 20 | -5.9063 |